VASP calculation (SCAN) on a crystal of ZrHg2W relaxed with PBEsol.

Summary:
E_tot   -235.22 eV per cell
SG   No. 119
Energy of formation   374 meV/atom

Lattice parameters (Å, degrees): 4.113 4.113 5.338 112.66 112.66 90.00
Fractional positions:
Zr: 0.250 0.750 0.500
W: 0.500 0.500 0.000
Hg: 0.750 0.250 0.500
Hg: 0.000 0.000 0.000